Material: Li2HfAl2
Method: DFT, PBE
State: relaxed Values from VASP.

The energy of formation from the pure elements is -62.9 meV/atom.

```
&SYSTEM
  ibrav = 0, nat = 5, ntyp = 3
/
ATOMIC_SPECIES
Li 6.94 Li.upf
Hf 178.49 Hf.upf
Al 26.98 Al.upf
CELL_PARAMETERS angstrom
-1.095 -3.559 0.157
0.928 -0.444 -3.582
5.821 -3.740 0.033
ATOMIC_POSITIONS angstrom
Li 3.333 -3.093 -2.631
Li 2.321 -4.650 -0.761
Hf 0.000 0.000 0.000
Al 1.078 -2.343 -1.369
Al 4.576 -5.399 -2.023
```

=====

Material: InRh5
Method: DFT, PBE
State: relaxed Values from VASP.

The energy of formation from the pure elements is -34.9 meV/atom.

```
&SYSTEM
  ibrav = 0, nat = 6, ntyp = 2
/
ATOMIC_SPECIES
In 114.82 In.upf
Rh 102.91 Rh.upf
CELL_PARAMETERS angstrom
1.404 5.037 0.011
-1.404 5.037 0.011
0.000 1.774 6.415
ATOMIC_POSITIONS angstrom
In 0.000 1.801 6.413
Rh 0.000 1.271 2.545
Rh 0.000 7.884 4.256
Rh 0.000 5.130 4.610
Rh 0.000 7.414 0.365
Rh 0.000 3.942 2.176
```

=====

Material: PrHo7Cd2
Method: DFT, PBE
State: relaxed Values from VASP.

The energy of formation from the pure elements is 415.4 meV/atom.

```
&SYSTEM
  ibrav = 0, nat = 10, ntyp = 3
/
ATOMIC_SPECIES
Ho 164.93 Ho.upf
Pr 140.91 Pr.upf
Cd 112.41 Cd.upf
CELL_PARAMETERS angstrom
-4.485 1.326 2.716
0.220 -7.794 4.168
4.228 6.864 3.631
ATOMIC_POSITIONS angstrom
Ho 1.167 -4.328 4.041
Ho 1.883 1.675 7.677
Ho 0.913 -1.872 7.807
Ho -0.951 2.268 2.708
Ho -1.920 -1.279 2.838
Ho -0.019 0.198 5.257
Ho 3.280 3.398 3.758
Pr 0.000 0.000 0.000
Cd 0.769 3.079 5.151
Cd -0.807 -2.683 5.363
```

=====

Material: VCSN2
Method: DFT, PBE
State: relaxed Values from VASP.

```
&SYSTEM
  ibrav = 0, nat = 5, ntyp = 4
/
ATOMIC_SPECIES
V 50.94 V.upf
N 14.01 N.upf
C 12.01 C.upf
S 32.06 S.upf
CELL_PARAMETERS angstrom
3.152 0.000 0.000
0.000 3.152 0.000
0.000 0.000 6.751
ATOMIC_POSITIONS angstrom
V 1.576 1.576 3.375
N 1.576 0.000 0.000
N 0.000 1.576 0.000
C 0.000 0.000 0.000
S 0.000 0.000 3.375
```

=====

Material: TbSc3Ru4
Method: DFT, PBE
State: relaxed Values from VASP.

The energy of formation from the pure elements is -453.8 meV/atom.

```
&SYSTEM
  ibrav = 0, nat = 16, ntyp = 3
/
ATOMIC_SPECIES
Tb 158.93 Tb.upf
Sc 44.96 Sc.upf
Ru 101.07 Ru.upf
CELL_PARAMETERS angstrom
-0.149 4.606 -0.028
-3.306 -0.141 -5.639
-7.946 -0.229 4.665
ATOMIC_POSITIONS angstrom
Tb -5.626 -0.185 -0.487
Tb -1.653 -0.070 -2.819
Sc 0.000 0.000 0.000
Sc -6.034 2.132 3.485
Sc -7.687 2.061 0.665
Sc -2.061 2.245 1.152
Sc -3.973 -0.114 2.332
Sc -3.714 2.175 -1.667
Ru -4.849 2.154 0.952
Ru -2.937 4.514 -0.229
Ru -2.579 2.196 -4.286
Ru -0.876 2.269 -1.381
Ru -6.552 2.082 -1.953
Ru -6.761 -0.205 2.132
Ru -8.464 -0.278 -0.773
Ru -4.640 4.441 -3.133
```

=====

Material: Li2Mg2S3
Method: DFT, PBE
State: relaxed Values from VASP.

```
&SYSTEM
  ibrav = 0, nat = 28, ntyp = 3
/
ATOMIC_SPECIES
S 32.06 S.upf
Mg 24.30 Mg.upf
Li 6.94 Li.upf
CELL_PARAMETERS angstrom
-1.295 3.679 5.702
3.346 -4.395 7.818
7.297 5.821 2.123
ATOMIC_POSITIONS angstrom
S 3.532 0.468 5.365
S 3.497 3.892 7.333
S 4.785 1.428 12.149
S 1.220 2.221 2.255
S -0.188 2.094 6.202
S 7.283 4.374 6.630
S 9.536 3.010 9.439
S 5.850 1.212 8.309
S 4.563 3.677 3.493
S 8.128 2.883 13.386
S 5.816 4.637 10.276
S 2.065 0.731 9.012
Mg 5.969 3.579 12.494
Mg 6.942 6.786 10.465
Mg 2.406 -1.681 5.177
Mg 5.663 -0.035 10.390
Mg 3.379 1.526 3.148
Mg 2.160 1.889 6.822
Mg 3.684 5.140 5.252
Mg 7.187 3.216 8.820
Li 3.268 0.138 13.719
Li 6.080 4.966 1.923
Li 2.125 -1.748 9.542
Li 4.060 2.723 9.664
Li 4.100 -0.690 7.690
Li 5.287 2.381 5.978
Li 7.223 6.853 6.100
Li 5.248 5.794 7.952
```

=====

Material: Pr3Nd2Y8
Method: DFT, PBE
State: relaxed Values from VASP.

The energy of formation from the pure elements is 248.4 meV/atom.

```
&SYSTEM
  ibrav = 0, nat = 13, ntyp = 3
/
ATOMIC_SPECIES
Nd 144.24 Nd.upf
Y 88.91 Y.upf
Pr 140.91 Pr.upf
CELL_PARAMETERS angstrom
5.680 0.000 0.772
0.000 7.754 0.000
-1.390 -3.877 10.170
ATOMIC_POSITIONS angstrom
Nd 2.161 0.000 5.301
Nd 2.129 3.877 5.641
Y 2.541 5.505 2.575
Y 1.748 -1.628 8.367
Y 5.305 0.000 3.492
Y 2.541 2.249 2.575
Y -0.465 3.877 3.436
Y 4.755 0.000 7.506
Y -1.015 3.877 7.450
Y 1.748 1.628 8.367
Pr 2.840 0.000 0.386
Pr 0.000 5.488 0.000
Pr 0.000 2.265 0.000
```

=====

Material: Nd4ThS7
Method: DFT, PBE
State: relaxed Values from VASP.

```
&SYSTEM
  ibrav = 0, nat = 12, ntyp = 3
/
ATOMIC_SPECIES
Th 232.04 Th.upf
Nd 144.24 Nd.upf
S 32.06 S.upf
CELL_PARAMETERS angstrom
3.969 0.000 0.000
-1.984 6.493 -1.705
0.000 -0.031 11.905
ATOMIC_POSITIONS angstrom
Th 1.984 5.008 5.561
Nd 1.984 6.445 10.200
Nd 0.000 3.874 1.179
Nd 0.000 1.425 4.627
Nd 1.984 2.609 9.047
S 1.984 3.150 3.380
S 0.000 6.457 4.252
S 0.000 4.402 10.135
S 1.984 2.055 0.059
S 0.000 3.386 6.839
S 1.984 5.901 1.014
S 0.000 0.538 9.151
```

=====

Material: NaNbTcAs2
Method: DFT, PBE
State: relaxed Values from VASP.

The energy of formation from the pure elements is 1213.1 meV/atom.

```
&SYSTEM
  ibrav = 0, nat = 5, ntyp = 4
/
ATOMIC_SPECIES
As 74.92 As.upf
Na 22.99 Na.upf
Nb 92.91 Nb.upf
Tc 98.00 Tc.upf
CELL_PARAMETERS angstrom
4.968 0.000 0.000
0.000 5.352 0.000
0.000 0.000 4.968
ATOMIC_POSITIONS angstrom
As 2.484 0.000 0.000
As 0.000 0.000 2.484
Na 0.000 2.676 0.000
Nb 0.000 0.000 0.000
Tc 2.484 2.676 2.484
```

=====

Material: Nd4TlAu
Method: DFT, PBE
State: relaxed Values from VASP.

The energy of formation from the pure elements is -366.3 meV/atom.

```
&SYSTEM
  ibrav = 0, nat = 12, ntyp = 3
/
ATOMIC_SPECIES
Tl 204.38 Tl.upf
Au 196.97 Au.upf
Nd 144.24 Nd.upf
CELL_PARAMETERS angstrom
5.108 0.000 -2.307
0.000 7.237 0.000
-0.238 0.000 9.969
ATOMIC_POSITIONS angstrom
Tl 1.587 1.809 0.098
Tl 3.284 5.428 7.564
Au 0.945 1.809 5.055
Au 3.926 5.428 2.607
Nd 0.248 7.108 7.460
Nd 3.198 1.809 7.191
Nd 3.043 1.809 3.026
Nd 1.672 5.428 0.471
Nd 1.828 5.428 4.636
Nd 0.248 3.747 7.460
Nd 4.622 3.490 0.202
Nd 4.622 0.129 0.202
```

=====

Material: Zr2CrP
Method: DFT, PBE
State: relaxed Values from VASP.

The energy of formation from the pure elements is -299.5 meV/atom.

```
&SYSTEM
  ibrav = 0, nat = 4, ntyp = 3
/
ATOMIC_SPECIES
Cr 52.00 Cr.upf
P 30.97 P.upf
Zr 91.22 Zr.upf
CELL_PARAMETERS angstrom
3.159 0.000 0.000
0.000 3.159 0.000
0.000 0.000 6.913
ATOMIC_POSITIONS angstrom
Cr 0.000 0.000 3.835
P 1.580 1.580 4.807
Zr 0.000 0.000 6.611
Zr 1.580 1.580 2.028
```

=====

Material: NaSb3Te
Method: DFT, PBE
State: relaxed Values from VASP.

```
&SYSTEM
  ibrav = 0, nat = 5, ntyp = 3
/
ATOMIC_SPECIES
Sb 121.76 Sb.upf
Te 127.60 Te.upf
Na 22.99 Na.upf
CELL_PARAMETERS angstrom
5.407 0.000 0.000
0.000 5.407 0.000
0.000 0.000 5.407
ATOMIC_POSITIONS angstrom
Sb 0.000 0.000 2.704
Sb 2.704 0.000 0.000
Sb 0.000 2.704 0.000
Te 2.704 2.704 2.704
Na 0.000 0.000 0.000
```

=====

Number 1: raw total energy -21.6 eV/f.u.. Number 2: raw total energy -39.7 eV/f.u.. Number 3: raw total energy -34.5 eV/f.u.. Number 4: raw total energy -30.7 eV/f.u.. Number 5: raw total energy -64.4 eV/f.u.. Number 6: raw total energy -28.7 eV/f.u.. Number 7: raw total energy -72.4 eV/f.u.. Number 8: raw total energy -79.4 eV/f.u.. Number 9: raw total energy -25.0 eV/f.u.. Number 10: raw total energy -26.9 eV/f.u.. Number 11: raw total energy -33.3 eV/f.u.. Number 12: raw total energy -12.8 eV/f.u..